Na2PmAlS4 | GGA-PBE | optimized geometry

Geometry as POSCAR:
```
Na2PmAlS4
1.0
-7.453 1.756 -1.742
-1.968 -0.965 7.541
6.103 4.921 -2.164
S Al Pm Na
8 2 2 4
Direct
0.749 0.751 0.956
0.251 0.249 0.044
0.251 0.249 0.456
0.232 0.768 0.000
0.749 0.751 0.544
0.768 0.232 0.000
0.732 0.268 0.500
0.268 0.732 0.500
0.000 0.000 0.000
0.500 0.500 0.500
0.000 0.500 0.000
0.000 0.500 0.500
0.000 0.000 0.500
0.500 0.000 0.000
0.500 0.000 0.500
0.500 0.500 0.000
```

## Properties
The total DFT energy (no corrections) is -4.851 eV/atom.

=====

NaCoPCl2 | GGA-PBE | optimized geometry

Geometry as POSCAR:
```
NaCoPCl2
1.0
4.976 0.000 0.000
0.000 4.976 0.000
0.000 0.000 5.376
Co Na P Cl
1 1 1 2
Direct
0.500 0.500 0.500
0.000 0.000 0.000
0.000 0.000 0.500
0.000 0.500 0.000
0.500 0.000 0.000
```

## Properties
The total DFT energy (no corrections) is -2.749 eV/atom.

=====

LiSc4Cd5 | GGA-PBE | optimized geometry

Geometry as POSCAR:
```
LiSc4Cd5
1.0
3.470 0.000 0.000
0.000 3.470 0.000
0.000 0.000 17.831
Sc Cd Li
4 5 1
Direct
0.000 0.000 0.195
0.000 0.000 0.398
0.000 0.000 0.602
0.000 0.000 0.805
0.500 0.500 0.090
0.500 0.500 0.703
0.500 0.500 0.910
0.500 0.500 0.500
0.500 0.500 0.297
0.000 0.000 0.000
```

## Properties
The total DFT energy (no corrections) is -3.457 eV/atom.

=====

BaSb2Te2 | GGA-PBE | optimized geometry

Geometry as POSCAR:
```
BaSb2Te2
1.0
8.945 0.000 0.000
0.000 8.945 0.000
0.000 0.000 4.373
Ba Te Sb
2 4 4
Direct
0.500 0.500 0.000
0.000 0.000 0.000
0.714 0.786 0.500
0.786 0.286 0.500
0.214 0.714 0.500
0.286 0.214 0.500
0.373 0.873 0.000
0.873 0.627 0.000
0.627 0.127 0.000
0.127 0.373 0.000
```

## Properties
The total DFT energy (no corrections) is -3.761 eV/atom.

=====

TbPm2YSc5 | GGA-PBE | optimized geometry

Geometry as POSCAR:
```
TbPm2YSc5
1.0
8.335 0.000 0.000
0.000 8.335 0.000
-4.167 -4.167 7.277
Sc Tb Pm Y
10 2 4 2
Direct
0.651 0.151 0.725
0.849 0.926 0.275
0.426 0.349 0.275
0.926 0.426 0.275
0.500 0.500 0.000
0.151 0.074 0.725
0.349 0.849 0.275
0.000 0.000 0.000
0.074 0.574 0.725
0.574 0.651 0.725
0.750 0.750 0.500
0.250 0.250 0.500
0.620 0.120 0.000
0.380 0.880 0.000
0.880 0.620 0.000
0.120 0.380 0.000
0.250 0.750 0.500
0.750 0.250 0.500
```

## Properties
The total DFT energy (no corrections) is -5.534 eV/atom.

=====

CuPBr2 | GGA-PBE | optimized geometry

Geometry as POSCAR:
```
CuPBr2
1.0
-1.119 -3.317 -0.989
3.330 -3.015 6.345
-3.143 0.498 1.886
Br Cu P
2 1 1
Direct
0.000 0.000 0.000
0.500 0.500 0.000
0.500 0.000 0.500
0.000 0.500 0.500
```

## Properties
The total DFT energy (no corrections) is -2.749 eV/atom.

=====

SrZn3GaAg | GGA-PBE | optimized geometry

Geometry as POSCAR:
```
SrZn3GaAg
1.0
-0.830 5.242 2.738
-0.360 -3.039 5.710
6.792 2.168 -2.093
Zn Sr Ga Ag
6 2 2 2
Direct
0.500 0.696 0.000
0.000 0.304 0.000
0.000 0.696 0.000
0.250 0.139 0.278
0.500 0.304 0.000
0.750 0.861 0.722
0.250 0.713 0.426
0.750 0.287 0.574
0.750 0.060 0.121
0.250 0.940 0.879
0.250 0.345 0.689
0.750 0.655 0.311
```

## Properties
The total DFT energy (no corrections) is -1.989 eV/atom.

=====

Sr2BPd2 | GGA-PBE | optimized geometry

Geometry as POSCAR:
```
Sr2BPd2
1.0
-4.156 -1.722 -3.964
-0.359 -5.343 2.697
-4.755 -2.310 1.455
Pd Sr B
2 2 1
Direct
0.292 0.292 0.416
0.708 0.708 0.584
0.750 0.250 0.500
0.250 0.750 0.500
0.000 0.000 0.000
```

## Properties
The total DFT energy (no corrections) is -4.174 eV/atom.

=====

Please write out number 1 again, unchanged.
Na2PmAlS4 | GGA-PBE | optimized geometry

Geometry as POSCAR:
```
Na2PmAlS4
1.0
-7.453 1.756 -1.742
-1.968 -0.965 7.541
6.103 4.921 -2.164
S Al Pm Na
8 2 2 4
Direct
0.749 0.751 0.956
0.251 0.249 0.044
0.251 0.249 0.456
0.232 0.768 0.000
0.749 0.751 0.544
0.768 0.232 0.000
0.732 0.268 0.500
0.268 0.732 0.500
0.000 0.000 0.000
0.500 0.500 0.500
0.000 0.500 0.000
0.000 0.500 0.500
0.000 0.000 0.500
0.500 0.000 0.000
0.500 0.000 0.500
0.500 0.500 0.000
```

## Properties
The total DFT energy (no corrections) is -4.851 eV/atom.